(1)
A plane-wave DFT calculation with PBE-GGA was carried out for a geometry-optimized Ac5NdSm2 structure.

Its crystal system is orthorhombic. The value obtained for the formation energy is 32 meV per atom. The total magnetization comes out at 0.00 μB per atom. The final energy is -4.3114 eV/atom.

Cell: 5.5088 7.6874 15.3686 Å, 90.00 90.00 90.00°
Last column: nearest neighbours and their distance in Å.
Fractional positions:
Ac: 0.0000 0.5000 0.5000  4 Sm 3.84, 2 Nd 3.84, 6 Ac 3.88-3.89
Ac: 0.5000 0.7422 0.1220  4 Sm 3.78-3.90, 2 Nd 3.82, 6 Ac 3.87-3.91
Ac: 0.0000 0.0086 0.7471  1 Nd 3.80, 4 Sm 3.84-3.91, 7 Ac 3.84-3.91
Ac: 0.0000 0.4914 0.2471  1 Nd 3.80, 4 Sm 3.84-3.91, 7 Ac 3.84-3.91
Ac: 0.0000 0.0000 0.0000  4 Sm 3.84, 2 Nd 3.84, 6 Ac 3.88-3.89
Ac: 0.0000 0.5086 0.7529  1 Nd 3.80, 4 Sm 3.84-3.91, 7 Ac 3.84-3.91
Ac: 0.5000 0.2578 0.8780  4 Sm 3.78-3.90, 2 Nd 3.82, 6 Ac 3.87-3.91
Ac: 0.0000 0.9914 0.2529  1 Nd 3.80, 4 Sm 3.84-3.91, 7 Ac 3.84-3.91
Ac: 0.5000 0.2422 0.3780  4 Sm 3.78-3.90, 2 Nd 3.82, 6 Ac 3.87-3.91
Ac: 0.5000 0.7578 0.6220  4 Sm 3.78-3.90, 2 Nd 3.82, 6 Ac 3.87-3.91
Sm: 0.5000 0.7552 0.8759  10 Ac 3.78-3.91, 2 Nd 3.88
Sm: 0.5000 0.7448 0.3759  10 Ac 3.78-3.91, 2 Nd 3.88
Sm: 0.5000 0.2552 0.6241  10 Ac 3.78-3.91, 2 Nd 3.88
Sm: 0.5000 0.2448 0.1241  10 Ac 3.78-3.91, 2 Nd 3.88
Nd: 0.0000 0.5000 0.0000  8 Ac 3.80-3.84, 4 Sm 3.88
Nd: 0.0000 0.0000 0.5000  8 Ac 3.80-3.84, 4 Sm 3.88

=====

(2)
A plane-wave DFT calculation with PBE-GGA was carried out for a geometry-optimized Fe4Ru structure.

The offset from the most stable computed form is 0 meV/atom. Its crystal system is tetragonal. The value obtained for the formation energy is 153 meV per atom. The total magnetization comes out at 1.34 μB per atom. The final energy is -8.4719 eV/atom.

Cell: 4.4163 4.4163 4.4163 Å, 99.42 99.42 132.26°
Last column: nearest neighbours and their distance in Å.
Fractional positions:
Fe: 0.1973 0.6007 0.7980  9 Fe 2.53-2.58, 3 Ru 2.54-2.55
Fe: 0.3993 0.1973 0.5966  9 Fe 2.53-2.58, 3 Ru 2.54-2.55
Fe: 0.6007 0.8027 0.4034  9 Fe 2.53-2.58, 3 Ru 2.54-2.55
Fe: 0.8027 0.3993 0.2020  9 Fe 2.53-2.58, 3 Ru 2.54-2.55
Ru: 0.0000 0.0000 0.0000  12 Fe 2.54-2.55

=====

(3)
A plane-wave DFT calculation with PBE-GGA was carried out for a geometry-optimized MgBe structure.

The offset from the most stable computed form is 60 meV/atom. Its crystal system is tetragonal. The value obtained for the formation energy is 273 meV per atom. The total magnetization comes out at 0.00 μB per atom. The final energy is -2.3876 eV/atom.

Cell: 2.8134 2.8134 7.4477 Å, 90.00 90.00 90.00°
Last column: nearest neighbours and their distance in Å.
Fractional positions:
Be: 0.0000 0.5000 0.9278  4 Be 2.26
Be: 0.5000 0.0000 0.0722  4 Be 2.26
Mg: 0.0000 0.5000 0.3250  5 Be 2.74-2.96, 4 Mg 2.81
Mg: 0.5000 0.0000 0.6750  5 Be 2.74-2.96, 4 Mg 2.81

=====

(4)
A plane-wave DFT calculation with PBE-GGA was carried out for a geometry-optimized CaGaFeSn2 structure.

Its crystal system is tetragonal. The value obtained for the formation energy is -85 meV per atom. The total magnetization comes out at 0.00 μB per atom. The final energy is -4.3843 eV/atom.

Cell: 4.8989 4.5815 4.8989 Å, 90.00 90.00 90.00°
Last column: nearest neighbours and their distance in Å.
Fractional positions:
Fe: 0.0000 0.0000 0.0000  2 Ga 2.29, 4 Sn 2.45
Ga: 0.0000 0.5000 0.0000  2 Fe 2.29
Ca: 0.5000 0.5000 0.5000  8 Sn 3.35, 4 Ga 3.46
Sn: 0.5000 0.0000 0.0000  2 Fe 2.45
Sn: 0.0000 0.0000 0.5000  2 Fe 2.45

=====

(5)
A plane-wave DFT calculation with PBE-GGA was carried out for a geometry-optimized Mg2HgRh structure.

Its crystal system is cubic. The value obtained for the formation energy is -221 meV per atom. The total magnetization comes out at 0.00 μB per atom. The final energy is -2.9320 eV/atom.

Cell: 4.6545 4.6545 4.6545 Å, 60.00 60.00 60.00°
Last column: nearest neighbours and their distance in Å.
Fractional positions:
Hg: 0.5000 0.5000 0.5000  4 Mg 2.85, 4 Rh 2.85
Rh: 0.2500 0.2500 0.2500  4 Hg 2.85, 4 Mg 2.85
Mg: 0.0000 0.0000 0.0000  4 Rh 2.85, 4 Mg 2.85
Mg: 0.7500 0.7500 0.7500  4 Hg 2.85, 4 Mg 2.85

=====

(6)
A plane-wave DFT calculation with PBE-GGA was carried out for a geometry-optimized NdSm2Th3Se6 structure.

Its crystal system is monoclinic. As for the energy relative to the elements, uncorrected: -1.668 eV/atom. The total magnetization comes out at 0.00 μB per atom. The final energy is -6.4490 eV/atom.

Cell: 7.1549 7.1549 7.3784 Å, 99.20 99.20 118.99°
Last column: nearest neighbours and their distance in Å.
Fractional positions:
Sm: 0.3328 0.6672 0.0000  6 Se 2.93-2.94
Sm: 0.6672 0.3328 0.0000  6 Se 2.93-2.94
Se: 0.4190 0.0823 0.2464  2 Sm 2.94, 1 Nd 2.97, 3 Th 2.99
Se: 0.0823 0.4190 0.2464  2 Sm 2.94, 1 Nd 2.97, 3 Th 2.99
Se: 0.2562 0.2562 0.7573  2 Sm 2.93, 1 Nd 2.96, 3 Th 2.98-2.99
Se: 0.7438 0.7438 0.2427  2 Sm 2.93, 1 Nd 2.96, 3 Th 2.98-2.99
Se: 0.5810 0.9177 0.7536  2 Sm 2.94, 1 Nd 2.97, 3 Th 2.99
Se: 0.9177 0.5810 0.7536  2 Sm 2.94, 1 Nd 2.97, 3 Th 2.99
Th: 0.1641 0.8359 0.5000  6 Se 2.99
Th: 0.8359 0.1641 0.5000  6 Se 2.99
Th: 0.5000 0.5000 0.5000  6 Se 2.98-2.99
Nd: 0.0000 0.0000 0.0000  6 Se 2.96-2.97